A plane-wave DFT calculation with PBE was carried out for a relaxed PmNb2Si4 crystal.

abc: 8.6742 8.6742 8.6742
angles: 154.65 154.25 36.44
With the nearest neighbours (Å) after each atom.
Fractional coordinates of all 7 atoms:
Pm (0.0000, 0.0000, 0.0000)  12 Si 2.97-3.25
Nb (0.3152, 0.8152, 0.5000)  7 Si 2.56-2.74
Nb (0.6848, 0.1848, 0.5000)  7 Si 2.56-2.74
Si (0.1599, 0.6599, 0.5000)  2 Si 2.40, 1 Nb 2.56
Si (0.4269, 0.4269, 0.0000)  3 Si 2.40-2.41, 2 Nb 2.65
Si (0.5731, 0.5731, 0.0000)  3 Si 2.40-2.41, 2 Nb 2.65
Si (0.8401, 0.3401, 0.5000)  2 Si 2.40, 1 Nb 2.56

Summary:
- Fermi-level density of states (states/eV/f.u.) = 4.28
- uncorrected formation energy (kcal/mol of atoms) = -10.99
- V (Å³ per atom) = 17.3